*i*
# LiAgTe4

An optimized crystal structure of LiAgTe4 (GGA-PBE, Alexandria via LeMat-Bulk).

```
LiAgTe4
1.0
-1.957 1.643 -2.920
-4.686 -5.577 0.002
-3.521 2.923 4.004
Li Ag Te
1 1 4
Cartesian
-0.979 0.822 -1.460 Li
-4.103 -1.327 2.003 Ag
-5.677 1.162 1.880 Te
-8.421 -1.296 -0.242 Te
-1.743 0.285 1.329 Te
-4.487 -2.173 -0.794 Te
```

Calculated values
M_tot in μB/cell: 0.0

---

*ii*
# LiAgTe4

An optimized crystal structure of LiAgTe4 (GGA-PBE, Alexandria via LeMat-Bulk).

```
LiAgTe4
1.0
-5.274 -2.564 -2.635
-5.361 -0.624 3.493
-5.100 3.711 -1.247
Li Ag Te
1 1 4
Cartesian
0.000 0.000 0.000 Li
-11.801 0.392 -0.291 Ag
-8.535 -1.081 -1.459 Te
-8.448 2.046 -0.767 Te
-8.578 -0.115 1.595 Te
-5.907 0.196 -0.146 Te
```

Calculated values
M_tot in μB/cell: 0.0

---

Which is most stable, and by how much? *i*, by 450 meV/atom.

---

*i*
# LiTlAgTe2

An optimized crystal structure of LiTlAgTe2 (GGA-PBE, Alexandria via LeMat-Bulk).

```
LiTlAgTe2
1.0
-4.166 2.047 -3.655
-1.996 -4.859 -0.446
-3.542 1.031 4.615
Tl Te Ag Li
1 2 1 1
Cartesian
0.000 0.000 0.000 Tl
-1.771 0.516 2.308 Te
-2.083 1.024 -1.828 Te
-0.998 -2.429 -0.223 Ag
-4.852 -0.890 0.257 Li
```

Calculated values
M_tot in μB/cell: 0.0

---

*ii*
# LiTlAgTe2

An optimized crystal structure of LiTlAgTe2 (GGA-PBE, Alexandria via LeMat-Bulk).

```
LiTlAgTe2
1.0
4.732 0.000 0.000
-2.366 6.293 0.742
0.000 -0.702 10.194
Li Tl Ag Te
2 2 2 4
Cartesian
0.000 1.178 2.261 Li
2.366 4.413 8.674 Li
0.000 4.341 4.148 Tl
2.366 1.250 6.787 Tl
2.366 2.114 0.630 Ag
0.000 3.476 10.305 Ag
0.000 3.709 7.486 Te
2.366 1.882 3.450 Te
0.000 0.592 9.460 Te
2.366 4.998 1.476 Te
```

Calculated values
M_tot in μB/cell: 0.0

---

Which is most stable, and by how much? *ii*, by 683 meV/atom.

---

*i*
# LiTi2Ag2

An optimized crystal structure of LiTi2Ag2 (GGA-PBE, Alexandria via LeMat-Bulk).

```
LiTi2Ag2
1.0
-4.883 -6.024 -2.719
-0.818 -2.803 7.681
-2.205 1.626 0.358
Li Ag Ti
2 4 4
Cartesian
0.000 0.000 0.000 Li
-2.851 -4.413 2.481 Li
-2.539 -2.179 4.914 Ag
-5.095 -5.582 4.627 Ag
-5.367 -5.022 0.407 Ag
-2.811 -1.619 0.694 Ag
-2.607 -4.804 5.753 Ti
-4.827 -7.056 2.313 Ti
-3.095 -4.023 -0.791 Ti
-0.875 -1.771 2.649 Ti
```

Calculated values
M_tot in μB/cell: 0.0

---

*ii*
# LiTi2Ag2

An optimized crystal structure of LiTi2Ag2 (GGA-PBE, Alexandria via LeMat-Bulk).

```
LiTi2Ag2
1.0
-1.193 2.544 -7.553
-1.989 -7.491 -2.209
-2.713 0.540 0.610
Li Ag Ti
2 4 4
Cartesian
0.000 0.000 0.000 Li
-1.591 -2.473 -4.881 Li
-2.165 -5.565 -4.695 Ag
-2.293 -2.528 -7.951 Ag
-1.017 0.618 -5.067 Ag
-0.889 -2.419 -1.811 Ag
-2.872 -4.285 -2.398 Ti
-3.811 -4.305 -6.556 Ti
-3.022 -0.121 -6.754 Ti
-2.083 -0.101 -2.596 Ti
```

Calculated values
M_tot in μB/cell: 0.0

---

Which is most stable, and by how much? *i*, by 19 meV/atom.

---

*i*
# LiTi3Ag

An optimized crystal structure of LiTi3Ag (GGA-PBE, Alexandria via LeMat-Bulk).

```
LiTi3Ag
1.0
4.988 0.000 0.000
0.000 4.988 0.000
0.000 0.000 4.988
Li Ag Ti
1 1 3
Cartesian
2.494 2.494 2.494 Li
0.000 0.000 0.000 Ag
0.000 2.494 0.000 Ti
0.000 0.000 2.494 Ti
2.494 0.000 0.000 Ti
```

Calculated values
M_tot in μB/cell: 4.3

---

*ii*
# LiTi3Ag

An optimized crystal structure of LiTi3Ag (GGA-PBE, Alexandria via LeMat-Bulk).

```
LiTi3Ag
1.0
4.422 0.000 0.000
0.000 4.422 0.000
0.000 0.000 4.422
Li Ag Ti
1 1 3
Cartesian
0.000 0.000 0.000 Li
2.211 2.211 2.211 Ag
0.000 2.211 0.000 Ti
0.000 0.000 2.211 Ti
2.211 0.000 0.000 Ti
```

Calculated values
M_tot in μB/cell: 0.0

---

Which is most stable, and by how much? *ii*, by 231 meV/atom.

---

*i*
# Li2TiAg

An optimized crystal structure of Li2TiAg (GGA-PBE, Alexandria via LeMat-Bulk).

```
Li2TiAg
1.0
-0.614 2.307 1.469
-1.671 -0.171 2.244
7.255 -0.880 7.088
Li Ag Ti
2 1 1
Cartesian
5.093 -0.450 5.510 Li
-0.123 1.706 5.291 Li
2.485 0.628 5.400 Ag
0.000 0.000 0.000 Ti
```

Calculated values
M_tot in μB/cell: 0.0

---

*ii*
# Li2TiAg

An optimized crystal structure of Li2TiAg (GGA-PBE, Alexandria via LeMat-Bulk).

```
Li2TiAg
1.0
0.000 3.137 3.137
3.137 0.000 3.137
3.137 3.137 0.000
Li Ag Ti
2 1 1
Cartesian
1.569 1.569 1.569 Li
4.706 4.706 4.706 Li
3.137 3.137 3.137 Ag
0.000 0.000 0.000 Ti
```

Calculated values
M_tot in μB/cell: 0.0

---

*iii*
# Li2TiAg

An optimized crystal structure of Li2TiAg (GGA-PBE, Alexandria via LeMat-Bulk).

```
Li2TiAg
1.0
-5.110 -0.855 -5.077
1.334 -7.128 -0.142
-3.774 -4.384 -0.646
Li Ag Ti
4 2 2
Cartesian
-4.104 -2.543 -3.485 Li
-0.615 -5.636 -0.753 Li
-4.281 -6.095 -2.438 Li
-6.099 -10.459 -5.055 Li
0.000 0.000 0.000 Ag
-5.386 -4.615 -4.166 Ag
-1.888 -3.992 -2.610 Ti
-2.164 -7.752 -1.699 Ti
```

Calculated values
M_tot in μB/cell: 4.7

---

Which is most stable, and by how much? *i*, by 139 meV/atom.

---

*i*
# Li4Tl2Ag

An optimized crystal structure of Li4Tl2Ag (GGA-PBE, Alexandria via LeMat-Bulk).

```
Li4Tl2Ag
1.0
-0.188 -7.007 1.881
5.341 -0.217 -0.272
0.512 5.054 6.021
Li Tl Ag
8 4 2
Cartesian
2.668 -3.080 2.216 Li
4.422 3.614 4.954 Li
1.243 -5.783 2.675 Li
0.002 -2.971 2.352 Li
1.443 -3.989 5.182 Li
5.663 0.802 5.278 Li
2.997 0.911 5.414 Li
4.222 1.820 2.447 Li
3.869 -5.604 1.433 Tl
1.796 3.435 6.196 Tl
1.499 -0.153 3.216 Tl
4.166 -2.016 4.414 Tl
4.071 -0.768 1.563 Ag
1.594 -1.401 6.067 Ag
```

Calculated values
M_tot in μB/cell: 0.0

---

*ii*
# Li4Tl2Ag

An optimized crystal structure of Li4Tl2Ag (GGA-PBE, Alexandria via LeMat-Bulk).

```
Li4Tl2Ag
1.0
4.553 0.000 1.422
2.054 4.063 1.422
0.183 0.112 7.412
Li Tl Ag
4 2 1
Cartesian
5.794 3.563 5.446 Li
0.995 0.612 4.811 Li
3.918 2.409 3.454 Li
2.872 1.766 6.803 Li
4.970 3.057 8.083 Tl
1.819 1.119 2.174 Tl
0.000 0.000 0.000 Ag
```

Calculated values
M_tot in μB/cell: 0.0

---

Which is most stable, and by how much? *ii*, by 47 meV/atom.

---

*i*
# Li7Tl3Ag2

An optimized crystal structure of Li7Tl3Ag2 (GGA-PBE, Alexandria via LeMat-Bulk).

```
Li7Tl3Ag2
1.0
-1.323 1.252 -2.834
-3.730 -2.853 0.480
-5.339 11.655 7.642
Li Tl Ag
7 3 2
Cartesian
-5.862 3.913 2.463 Li
-4.529 6.142 2.826 Li
-2.961 0.080 1.417 Li
0.000 0.000 0.000 Li
-6.108 8.723 6.706 Li
-8.386 7.590 5.266 Li
-2.006 2.465 0.023 Li
-2.526 -0.800 -1.177 Tl
-2.635 3.707 2.868 Tl
-6.434 5.096 5.255 Tl
-4.602 2.102 1.074 Ag
-5.790 7.953 4.215 Ag
```

Calculated values
M_tot in μB/cell: 0.0

---

*ii*
# Li7Tl3Ag2

An optimized crystal structure of Li7Tl3Ag2 (GGA-PBE, Alexandria via LeMat-Bulk).

```
Li7Tl3Ag2
1.0
4.734 0.000 0.000
0.000 4.547 -0.903
0.000 -0.166 11.065
Li Tl Ag
7 3 2
Cartesian
0.000 1.769 8.908 Li
0.000 3.219 4.311 Li
0.000 0.000 0.000 Li
0.000 2.612 1.253 Li
2.367 0.341 1.717 Li
2.367 4.040 8.445 Li
0.000 1.162 5.851 Li
2.367 2.274 -0.452 Tl
2.367 2.965 3.029 Tl
2.367 1.417 7.132 Tl
0.000 3.756 7.014 Ag
0.000 0.625 3.147 Ag
```

Calculated values
M_tot in μB/cell: 0.0

---

Which is most stable, and by how much? *i*, by 9 meV/atom.

---

*i*
# Li4TlAg2

An optimized crystal structure of Li4TlAg2 (GGA-PBE, Alexandria via LeMat-Bulk).

```
Li4TlAg2
1.0
4.424 0.000 -1.009
-0.152 2.848 -0.665
-0.144 0.724 9.577
Li Tl Ag
4 1 2
Cartesian
2.738 2.072 1.801 Li
1.391 1.500 6.102 Li
0.214 1.736 0.938 Li
3.915 1.836 6.965 Li
2.212 0.000 -0.504 Tl
3.308 2.687 4.301 Ag
0.821 0.885 3.602 Ag
```

Calculated values
M_tot in μB/cell: 0.0

---

*ii*
# Li4TlAg2

An optimized crystal structure of Li4TlAg2 (GGA-PBE, Alexandria via LeMat-Bulk).

```
Li4TlAg2
1.0
4.971 0.000 0.000
0.000 4.971 0.000
2.486 2.486 6.773
Tl Ag Li
1 2 4
Cartesian
0.000 0.000 0.000 Tl
2.485 2.485 1.382 Ag
4.971 4.971 5.391 Ag
2.485 2.485 4.034 Li
4.971 4.971 2.739 Li
0.000 2.486 0.000 Li
2.486 0.000 0.000 Li
```

Calculated values
M_tot in μB/cell: 0.0

---

*iii*
# Li4TlAg2

An optimized crystal structure of Li4TlAg2 (GGA-PBE, Alexandria via LeMat-Bulk).

```
Li4TlAg2
1.0
5.017 0.000 0.000
0.000 5.089 0.000
0.000 -2.544 5.428
Li Tl Ag
4 1 2
Cartesian
2.508 2.544 1.491 Li
0.000 2.544 3.386 Li
2.508 0.000 3.938 Li
0.000 0.000 2.042 Li
0.000 2.544 0.000 Tl
2.508 0.000 1.339 Ag
2.508 2.544 4.090 Ag
```

Calculated values
M_tot in μB/cell: 0.0

---

Which is most stable, and by how much? *i*, by 139 meV/atom.

---

*i*
# LiTlAg

An optimized crystal structure of LiTlAg (GGA-PBE, Alexandria via LeMat-Bulk).

```
LiTlAg
1.0
4.503 0.000 0.108
0.000 4.152 0.000
-0.154 -2.076 6.465
Li Tl Ag
2 2 2
Cartesian
1.002 2.076 5.250 Li
3.348 0.000 1.322 Li
1.099 2.076 1.149 Tl
3.250 0.000 5.423 Tl
1.049 0.000 3.245 Ag
3.300 2.076 3.327 Ag
```

Calculated values
M_tot in μB/cell: 0.0

---

*ii*
# LiTlAg

An optimized crystal structure of LiTlAg (GGA-PBE, Alexandria via LeMat-Bulk).

```
LiTlAg
1.0
-2.010 -0.608 2.507
-0.668 -1.213 -2.963
3.588 -5.651 1.505
Ag Li Tl
1 1 1
Cartesian
0.074 -0.117 0.031 Ag
-0.417 -2.615 1.165 Li
1.252 -4.741 -0.146 Tl
```

Calculated values
M_tot in μB/cell: 0.0

---

Which is most stable, and by how much? *i*, by 111 meV/atom.

---

*i*
# Li4TlAg4

An optimized crystal structure of Li4TlAg4 (GGA-PBE, Alexandria via LeMat-Bulk).

```
Li4TlAg4
1.0
0.550 3.588 2.453
-4.700 0.361 4.439
3.709 -1.395 5.121
Li Tl Ag
4 1 4
Cartesian
-1.968 -0.209 4.660 Li
1.527 2.764 7.352 Li
0.050 2.087 4.762 Li
-0.491 0.468 7.251 Li
0.000 0.000 0.000 Tl
2.246 -0.101 7.469 Ag
-2.688 2.655 4.544 Ag
-1.915 1.874 9.426 Ag
1.474 0.681 2.586 Ag
```

Calculated values
M_tot in μB/cell: 0.0

---

*ii*
# Li4TlAg4

An optimized crystal structure of Li4TlAg4 (GGA-PBE, Alexandria via LeMat-Bulk).

```
Li4TlAg4
1.0
6.116 0.000 0.000
0.000 6.116 0.000
0.000 0.000 9.471
Li Tl Ag
8 2 8
Cartesian
1.438 3.058 7.374 Li
4.678 3.058 7.374 Li
3.058 4.678 2.097 Li
3.058 1.438 2.097 Li
0.000 4.496 2.639 Li
0.000 1.620 2.639 Li
1.620 0.000 6.832 Li
4.496 0.000 6.832 Li
0.000 0.000 0.000 Tl
3.058 3.058 4.735 Tl
3.058 4.749 8.746 Ag
3.058 1.367 8.746 Ag
4.749 3.058 0.725 Ag
1.367 3.058 0.725 Ag
1.691 0.000 4.011 Ag
4.425 0.000 4.011 Ag
0.000 1.691 5.460 Ag
0.000 4.425 5.460 Ag
```

Calculated values
M_tot in μB/cell: 0.0

---

Which is most stable, and by how much? *i*, by 53 meV/atom.